*P*
A plane-wave DFT calculation with PBE-GGA was carried out for crystalline Ce2PrPu at its relaxed geometry.

V (Å³/cell): 119.1

a = 5.822 Å, b = 5.822 Å, c = 3.514 Å
α = 90.00°, β = 90.00°, γ = 90.00°
Atoms (fractional coordinates):
Ce 0.000 0.500 0.000
Ce 0.500 0.000 0.000
Pr 0.000 0.000 0.500
Pu 0.500 0.500 0.500

*Q*
A plane-wave DFT calculation with PBE-GGA was carried out for crystalline Ce2PrPu at its relaxed geometry.

V (Å³/cell): 112.5

a = 10.307 Å, b = 10.307 Å, c = 10.307 Å
α = 20.04°, β = 20.04°, γ = 20.04°
Atoms (fractional coordinates):
Ce 0.115 0.115 0.115
Ce 0.885 0.885 0.885
Pr 0.000 0.000 0.000
Pu 0.500 0.500 0.500

Most stable structure: *P*

*P*
A plane-wave DFT calculation with PBE-GGA was carried out for crystalline Ce2PrRe at its relaxed geometry.

V (Å³/cell): 106.9

a = 3.438 Å, b = 3.438 Å, c = 9.046 Å
α = 90.00°, β = 90.00°, γ = 90.00°
Atoms (fractional coordinates):
Ce 0.000 0.000 0.192
Ce 0.000 0.000 0.808
Pr 0.500 0.500 0.500
Re 0.500 0.500 0.000

*Q*
A plane-wave DFT calculation with PBE-GGA was carried out for crystalline Ce2PrRe at its relaxed geometry.

V (Å³/cell): 127.1

a = 10.301 Å, b = 10.301 Å, c = 10.301 Å
α = 21.37°, β = 21.37°, γ = 21.37°
Atoms (fractional coordinates):
Ce 0.112 0.112 0.112
Ce 0.888 0.888 0.888
Pr 0.000 0.000 0.000
Re 0.500 0.500 0.500

Most stable structure: *P*

*P*
A plane-wave DFT calculation with PBE-GGA was carried out for crystalline Ce2PrRh at its relaxed geometry.

V (Å³/cell): 215.5

a = 6.171 Å, b = 6.171 Å, c = 9.800 Å
α = 90.00°, β = 90.00°, γ = 144.73°
Atoms (fractional coordinates):
Ce 0.140 0.860 0.556
Ce 0.140 0.860 0.944
Ce 0.860 0.140 0.056
Ce 0.860 0.140 0.444
Pr 0.421 0.579 0.750
Pr 0.579 0.421 0.250
Rh 0.298 0.702 0.250
Rh 0.702 0.298 0.750

*Q*
A plane-wave DFT calculation with PBE-GGA was carried out for crystalline Ce2PrRh at its relaxed geometry.

V (Å³/cell): 117.8

a = 9.608 Å, b = 9.608 Å, c = 9.608 Å
α = 22.89°, β = 22.89°, γ = 22.89°
Atoms (fractional coordinates):
Ce 0.228 0.228 0.228
Ce 0.772 0.772 0.772
Pr 0.000 0.000 0.000
Rh 0.500 0.500 0.500

Most stable structure: *P*